# 1
Material: K2LiC2
Method: DFT, GGA-PBE
State: optimized geometry

```
10
Lattice="-0.188 -4.225 -5.896 4.839 -4.467 3.047 -3.275 -2.335 1.778" Properties=species:S:1:pos:R:3 pbc="T T T"
K 1.717 -5.149 1.840
K 2.096 -7.699 -0.810
K -0.721 -3.329 -0.261
K -0.341 -5.878 -2.910
C 0.195 -2.652 -3.125
C 2.107 -2.218 0.969
C 2.544 -6.474 -3.817
C 4.456 -6.040 0.276
Li 0.000 0.000 0.000
Li 2.325 -4.346 -1.424
```

Output
For the density of states at the Fermi level, the calculation gives 0.01 states/eV per cell. The value obtained for the formation energy is 0.469 eV per atom. As for the density: 1.57 g/cm³. Its crystal system is tetragonal. Its space group is No. 127.

---

# 2
Material: La2Dy12Ho5
Method: DFT, GGA-PBE
State: optimized geometry

```
19
Lattice="-2.139 -1.857 8.789 6.635 -9.139 -5.167 1.940 8.017 2.166" Properties=species:S:1:pos:R:3 pbc="T T T"
Ho 1.874 -1.800 4.927
Ho 0.970 4.008 1.083
Ho 4.307 2.439 1.564
Ho 2.129 -5.418 4.224
Ho 4.562 -1.179 0.861
Dy 1.085 1.018 7.184
Dy 0.143 -4.137 7.111
Dy 1.122 4.222 6.016
Dy 5.351 -3.997 -1.396
Dy 6.292 1.157 -1.323
Dy 1.903 1.727 3.825
Dy 1.510 -2.950 1.496
Dy 4.777 -3.528 5.268
Dy 5.313 -7.202 -0.229
Dy 4.533 -4.707 1.962
Dy 1.658 0.548 0.519
Dy 4.926 -0.029 4.292
La -1.471 -1.278 6.045
La -0.668 -0.580 2.744
```

Output
For the density of states at the Fermi level, the calculation gives 27.49 states/eV per cell. The value obtained for the formation energy is 0.139 eV per atom. As for the density: 8.14 g/cm³. Its crystal system is monoclinic. Its space group is No. 12.

---

# 3
Material: LaTe2PPt
Method: DFT, GGA-PBE
State: optimized geometry

```
5
Lattice="-1.417 1.252 4.862 5.022 -1.701 1.902 1.891 4.814 -0.688" Properties=species:S:1:pos:R:3 pbc="T T T"
La 2.511 -0.850 0.951
Te 0.945 2.407 -0.344
Te -0.709 0.626 2.431
Pt 0.000 0.000 0.000
P 2.748 2.182 3.038
```

Output
As for the formation energy without anion corrections: -0.28 kcal/mol of atoms. For the density of states at the Fermi level, the calculation gives 3.81 states/eV per cell. As for the density: 6.72 g/cm³. Its crystal system is tetragonal. Its space group is No. 123.

---

# 4
Material: VAg2Au8
Method: DFT, GGA-PBE
State: optimized geometry

```
11
Lattice="-4.981 -0.324 -0.602 1.371 -3.914 -2.875 -0.610 -5.365 5.665" Properties=species:S:1:pos:R:3 pbc="T T T"
Au -0.748 -4.883 0.429
Au -1.306 -3.348 -2.066
Au -3.057 -5.577 -1.277
Au -0.158 -6.419 2.883
Au -3.429 -4.396 1.415
Au -4.018 -2.860 -1.039
Au -2.871 -5.931 3.910
Au -1.120 -3.702 3.121
Ag -2.466 -7.128 1.216
Ag -1.710 -2.151 0.628
V -5.569 -5.527 4.891
```

Output
For the density of states at the Fermi level, the calculation gives 4.61 states/eV per cell. The value obtained for the formation energy is -0.001 eV per atom. As for the density: 15.68 g/cm³. Its crystal system is triclinic. Its space group is No. 2.

---

# 5
Material: ZrSc2Cl
Method: DFT, GGA-PBE
State: optimized geometry

```
4
Lattice="-2.848 -1.301 0.861 1.027 -2.976 -1.102 3.190 -1.797 7.833" Properties=species:S:1:pos:R:3 pbc="T T T"
Cl 1.739 -4.230 5.479
Sc 2.360 -3.129 3.076
Sc 0.775 -2.234 -0.812
Zr -0.370 -1.844 2.114
```

Output
As for the formation energy without anion corrections: -13.81 kcal/mol of atoms. For the density of states at the Fermi level, the calculation gives 4.31 states/eV per cell. As for the density: 3.84 g/cm³. Its crystal system is orthorhombic. Its space group is No. 47.

---

# 6
Material: Np2NiP4Ir3
Method: DFT, GGA-PBE
State: optimized geometry

```
10
Lattice="4.145 0.000 0.000 0.000 4.145 0.000 0.000 0.000 9.382" Properties=species:S:1:pos:R:3 pbc="T T T"
Ir 0.000 0.000 4.691
Ir 0.000 2.072 1.091
Ir 2.072 0.000 8.291
Np 0.000 2.072 7.051
Np 2.072 0.000 2.331
P 0.000 0.000 0.000
P 2.072 0.000 5.935
P 2.072 2.072 0.000
P 0.000 2.072 3.448
Ni 2.072 2.072 4.691
```

Output
For the density of states at the Fermi level, the calculation gives 22.34 states/eV per cell. The value obtained for the formation energy is -0.668 eV per atom. As for the density: 12.70 g/cm³. Its crystal system is tetragonal. Its space group is No. 115.